No. 1
Entry from the Alexandria database: an optimized crystal structure of RbHf2H2 (PBE).

abc: 9.107 9.107 2.937
angles: 90.00 90.00 90.00
Space group P4/mbm (No. 127)
Inequivalent atoms, fractional coordinates:
Rb1 0.000 0.000 0.000 [2 per cell]
Hf1 0.108 0.392 0.000 [4 per cell]
H1 0.074 0.574 0.500 [4 per cell]

* ρ: 6.06 g cm⁻³
* polymorph energy (0 for the lowest one): 617 meV/atom

No. 2
Entry from the Alexandria database: an optimized crystal structure of RbHfH2 (PBE).

abc: 6.516 6.516 6.516
angles: 90.00 90.00 90.00
Space group Fm-3m (No. 225)
Inequivalent atoms, fractional coordinates:
Rb1 0.000 0.000 0.000 [4 per cell]
Hf1 0.000 0.000 0.500 [4 per cell]
H1 0.250 0.250 0.250 [8 per cell]

* ρ: 6.39 g cm⁻³
* polymorph energy (0 for the lowest one): 918 meV/atom

No. 3
Entry from the Alexandria database: an optimized crystal structure of Rb3HfH (PBE).

abc: 5.954 5.954 5.954
angles: 90.00 90.00 90.00
Space group Pm-3m (No. 221)
Inequivalent atoms, fractional coordinates:
Rb1 0.000 0.000 0.500 [3 per cell]
Hf1 0.500 0.500 0.500 [1 per cell]
H1 0.000 0.000 0.000 [1 per cell]

* ρ: 3.43 g cm⁻³
* E_tot: -2.34 eV/atom

Total magnetization: 1.12, 2.04, 4.00 (μB per formula unit)